VASP calculation (PBE-GGA) on a relaxed Ce2Si2Au crystal.

* offset from the most stable computed form: 0.000 eV/f.u.
* spin magnetization: 1.363 μB/f.u.
* space-group type: No. 12
* energy relative to the elements, uncorrected: -687 meV/atom
* raw total energy: -5.885 eV per atom

Unit cell a=5.7954 b=5.7954 c=10.4487 alpha=115.60 beta=115.60 gamma=44.45
Closest atoms and distances in Å follow each position.
Sites, in units of the cell vectors:
1 Ce 0.0052 0.0052 0.3235  6 Si 3.06-3.15, 4 Au 3.12-3.30
2 Ce 0.1884 0.1884 0.1040  6 Si 3.02-3.17, 2 Au 3.26
3 Ce 0.8116 0.8116 0.8960  6 Si 3.02-3.17, 2 Au 3.26
4 Ce 0.9948 0.9948 0.6765  6 Si 3.06-3.15, 4 Au 3.12-3.30
5 Si 0.3699 0.3699 0.4369  1 Si 2.47, 2 Au 2.61
6 Si 0.4761 0.4761 0.1062  1 Si 2.50, 1 Au 2.67
7 Si 0.5239 0.5239 0.8938  1 Si 2.50, 1 Au 2.67
8 Si 0.6301 0.6301 0.5631  1 Si 2.47, 2 Au 2.61
9 Au 0.2777 0.2777 0.6511  4 Si 2.61-2.84
10 Au 0.7223 0.7223 0.3489  4 Si 2.61-2.84

VASP calculation (PBE-GGA) on a relaxed Pr3Zn3Ge crystal.

* formation energy from the elements: -422 meV/atom
* spin magnetization: 0.001 μB/f.u.
* space-group type: No. 44
* raw total energy: -3.676 eV per atom

Unit cell a=4.1430 b=4.3040 c=19.6707 alpha=90.00 beta=90.00 gamma=90.00
Closest atoms and distances in Å follow each position.
Sites, in units of the cell vectors:
1 Pr 0.0000 0.0000 0.0000  7 Zn 3.16-3.40
2 Pr 0.0000 0.0000 0.3725  4 Zn 3.12, 2 Ge 3.16
3 Pr 0.0000 0.5000 0.1952  4 Ge 3.19, 8 Zn 3.30-3.50
4 Pr 0.5000 0.0000 0.6952  4 Ge 3.19, 8 Zn 3.30-3.50
5 Pr 0.5000 0.5000 0.5000  7 Zn 3.16-3.40
6 Pr 0.5000 0.5000 0.8725  4 Zn 3.12, 2 Ge 3.16
7 Zn 0.0000 0.0000 0.5519  2 Zn 2.57
8 Zn 0.0000 0.0000 0.8273  2 Ge 2.62
9 Zn 0.0000 0.5000 0.6235  1 Ge 2.52, 2 Zn 2.57
10 Zn 0.5000 0.0000 0.1235  1 Ge 2.52, 2 Zn 2.57
11 Zn 0.5000 0.5000 0.0519  2 Zn 2.57
12 Zn 0.5000 0.5000 0.3273  2 Ge 2.62
13 Ge 0.0000 0.5000 0.7515  3 Zn 2.52-2.62
14 Ge 0.5000 0.0000 0.2515  3 Zn 2.52-2.62

VASP calculation (PBE-GGA) on a relaxed AcPmY3Ho crystal.

* formation energy from the elements: 227 meV/atom
* spin magnetization: 0.000 μB/f.u.
* space-group type: No. 12
* raw total energy: -5.245 eV per atom

Unit cell a=10.5237 b=10.5237 c=7.3217 alpha=90.03 beta=90.03 gamma=31.51
Closest atoms and distances in Å follow each position.
Sites, in units of the cell vectors:
1 Ac 0.1443 0.1443 0.0291  1 Ho 3.20, 2 Y 3.34-3.44
2 Ac 0.8557 0.8557 0.9709  1 Ho 3.20, 2 Y 3.34-3.44
3 Pm 0.4448 0.4448 0.7097  3 Y 3.26-3.34
4 Pm 0.5552 0.5552 0.2903  3 Y 3.26-3.34
5 Y 0.0217 0.0217 0.7238  1 Ho 3.24, 2 Pm 3.26, 1 Ac 3.34, 1 Y 3.39
6 Y 0.2803 0.2803 0.7481  3 Ho 3.33-3.54, 1 Pm 3.34, 3 Ac 3.44-3.63, 3 Y 3.62-3.70
7 Y 0.3354 0.3354 0.2772  2 Ho 3.43, 3 Y 3.62-3.70, 2 Ac 3.66
8 Y 0.6646 0.6646 0.7228  2 Ho 3.43, 3 Y 3.62-3.70, 2 Ac 3.66
9 Y 0.7197 0.7197 0.2519  3 Ho 3.33-3.54, 1 Pm 3.34, 3 Ac 3.44-3.63, 3 Y 3.62-3.70
10 Y 0.9783 0.9783 0.2762  1 Ho 3.24, 2 Pm 3.26, 1 Ac 3.34, 1 Y 3.39
11 Ho 0.1513 0.1513 0.4653  1 Ac 3.20, 6 Y 3.24-3.54
12 Ho 0.8487 0.8487 0.5347  1 Ac 3.20, 6 Y 3.24-3.54

VASP calculation (PBE-GGA) on a relaxed TlInHgF2 crystal.

* offset from the most stable computed form: 0.000 eV/f.u.
* spin magnetization: 0.000 μB/f.u.
* space-group type: No. 11
* energy relative to the elements, uncorrected: -1381 meV/atom
* raw total energy: -3.211 eV per atom

Unit cell a=7.8131 b=4.1500 c=8.5855 alpha=90.00 beta=105.59 gamma=90.00
Closest atoms and distances in Å follow each position.
Sites, in units of the cell vectors:
1 Tl 0.1863 0.2500 0.4144  4 F 2.63-2.72
2 Tl 0.8137 0.7500 0.5856  4 F 2.63-2.72
3 In 0.1844 0.2500 0.9293  4 F 2.33-2.43
4 In 0.8156 0.7500 0.0707  4 F 2.33-2.43
5 Hg 0.4512 0.7500 0.2252  3 In 3.45-3.50, 3 Tl 3.59-3.61, 1 F 3.78
6 Hg 0.5488 0.2500 0.7748  3 In 3.45-3.50, 3 Tl 3.59-3.61, 1 F 3.78
7 F 0.0167 0.7500 0.8978  3 In 2.43
8 F 0.0276 0.2500 0.6563  1 In 2.33
9 F 0.9724 0.7500 0.3437  1 In 2.33
10 F 0.9833 0.2500 0.1022  3 In 2.43